Computed, not measured: a geometry-optimized Dy2ErMgRh4 structure at the PBE-GGA level of DFT.

## Properties
Magnetization ... 0.00 μB per formula unit
DFT formation energy ... -0.8272 eV per atom
ρ ... 10.27 g/cm³

Cell: 4.7323 4.7323 23.2071 Å, 90.00 90.00 120.00°
Closest atoms and distances in Å follow each position.
Space group R-3m (No. 166, hexagonal axes)
Unique sites:
1 Dy 0.0000 0.0000 0.2450 [6 per cell]  8 Rh 2.80-3.03
2 Er 0.0000 0.0000 0.0000 [3 per cell]  8 Rh 2.88-2.90
3 Mg 0.0000 0.0000 0.5000 [3 per cell]  8 Rh 2.88-2.90
4 Rh 0.0000 0.0000 0.1243 [6 per cell]  4 Dy 2.80-2.86, 1 Er 2.88, 3 Mg 2.90
5 Rh 0.0000 0.0000 0.3757 [6 per cell]  1 Mg 2.88, 3 Er 2.90, 4 Dy 2.93-3.03



Computed, not measured: a geometry-optimized Er2HfSc structure at the PBE-GGA level of DFT.

## Properties
Magnetization ... 0.00 μB per formula unit
DFT formation energy ... 0.0921 eV per atom
ρ ... 8.70 g/cm³
Polymorph energy (0 for the lowest one) ... 0.00 eV per formula unit

Cell: 3.3767 3.3767 32.3581 Å, 90.00 90.00 120.00°
Closest atoms and distances in Å follow each position.
Space group R3m (No. 160, hexagonal axes)
Unique sites:
1 Er 0.0000 0.0000 0.0000 [3 per cell]  3 Hf 3.27, 6 Er 3.38, 3 Sc 3.41
2 Er 0.0000 0.0000 0.1611 [3 per cell]  3 Hf 3.24, 6 Er 3.38, 3 Sc 3.39
3 Hf 0.0000 0.0000 0.4144 [3 per cell]  6 Er 3.24-3.27, 6 Hf 3.38
4 Sc 0.0000 0.0000 0.5802 [3 per cell]  6 Sc 3.38, 6 Er 3.39-3.41



Computed, not measured: a geometry-optimized Pm5CdAg3 structure at the PBE-GGA level of DFT.

## Properties
Magnetization ... 0.00 μB per formula unit
DFT formation energy ... -0.1417 eV per atom
ρ ... 7.67 g/cm³

Cell: 9.1554 9.1554 6.9281 Å, 90.00 90.00 120.00°
Closest atoms and distances in Å follow each position.
Space group P6_3/mcm (No. 193)
Unique sites:
1 Pm 0.0000 0.2970 0.2500 [6 per cell]  3 Ag 3.03-3.12, 2 Cd 3.22
2 Pm 0.3333 0.6667 0.0000 [4 per cell]  6 Ag 3.37, 8 Pm 3.46-3.67
3 Cd 0.0000 0.0000 0.0000 [2 per cell]  6 Pm 3.22, 2 Cd 3.46
4 Ag 0.0000 0.3721 0.7500 [6 per cell]  7 Pm 3.03-3.37



Computed, not measured: a geometry-optimized Ca2La2MgTi3O12 structure at the PBE-GGA level of DFT.

## Properties
Magnetization ... 0.00 μB per formula unit
ρ ... 4.94 g/cm³
E_form (uncorrected) ... -3192.3 meV/atom
Polymorph energy (0 for the lowest one) ... 0.00 eV per formula unit

Cell: 5.5085 5.6059 7.8158 Å, 89.79 89.91 89.72°
Closest atoms and distances in Å follow each position.
Space group P1 (No. 1)
Unique sites:
1 Ca 0.0000 0.0000 0.0000 [1 per cell]  4 O 2.33-2.49
2 Ca 0.4956 0.4096 0.4830 [1 per cell]  6 O 2.36-2.64
3 La 0.0099 0.9223 0.4823 [1 per cell]  5 O 2.38-2.64
4 La 0.5158 0.5030 0.0030 [1 per cell]  6 O 2.38-2.66
5 Mg 0.5034 0.9591 0.2415 [1 per cell]  6 O 2.06-2.11
6 Ti 0.0033 0.4559 0.2445 [1 per cell]  6 O 1.94-2.06
7 Ti 0.0207 0.4560 0.7398 [1 per cell]  6 O 1.89-2.10
8 Ti 0.5211 0.9673 0.7462 [1 per cell]  5 O 1.91-2.09
9 O 0.0759 0.4364 0.9870 [1 per cell]  2 Ti 1.96-2.06
10 O 0.2035 0.1736 0.2788 [1 per cell]  1 Ti 1.94, 1 Mg 2.06
11 O 0.2091 0.1723 0.7008 [1 per cell]  2 Ti 1.92-2.09
12 O 0.2850 0.6609 0.6971 [1 per cell]  1 Ti 1.89
13 O 0.2863 0.6549 0.2840 [1 per cell]  1 Ti 1.95, 1 Mg 2.11
14 O 0.4176 0.9340 0.9802 [1 per cell]  1 Ti 1.92, 1 Mg 2.10
15 O 0.5753 0.9793 0.5031 [1 per cell]  1 Ti 1.92, 1 Mg 2.09
16 O 0.7122 0.2453 0.7851 [1 per cell]  2 Ti 1.91-2.10
17 O 0.7203 0.2564 0.2055 [1 per cell]  1 Ti 1.95, 1 Mg 2.07
18 O 0.7907 0.7484 0.7844 [1 per cell]  2 Ti 1.94-2.10
19 O 0.8053 0.7418 0.1993 [1 per cell]  1 Ti 1.97, 1 Mg 2.08
20 O 0.9186 0.4743 0.4958 [1 per cell]  2 Ti 1.99-2.02



Computed, not measured: a geometry-optimized Zr2VHRu structure at the PBE-GGA level of DFT.

## Properties
Magnetization ... 1.22 μB per formula unit
ρ ... 7.55 g/cm³
DFT total energy ... -8.036 eV/atom

Cell: 4.6313 4.6313 3.4383 Å, 90.00 90.00 90.00°
Closest atoms and distances in Å follow each position.
Space group P4/mmm (No. 123)
Unique sites:
1 Zr 0.0000 0.5000 0.0000 [2 per cell]  2 H 2.32
2 V 0.0000 0.0000 0.5000 [1 per cell]  2 H 1.72
3 H 0.0000 0.0000 0.0000 [1 per cell]  2 V 1.72
4 Ru 0.5000 0.5000 0.5000 [1 per cell]  8 Zr 2.88



Computed, not measured: a geometry-optimized LiCe2SmAs4 structure at the PBE-GGA level of DFT.

## Properties
Magnetization ... 0.26 μB per formula unit
DFT formation energy ... -1.1438 eV per atom
ρ ... 5.94 g/cm³

Cell: 7.1159 4.2280 7.2764 Å, 90.00 109.66 90.00°
Closest atoms and distances in Å follow each position.
Space group P2/m (No. 10)
Unique sites:
1 Li 0.0000 0.0000 0.0000 [1 per cell]  6 As 2.96-3.01
2 Ce 0.5000 0.0000 0.5000 [1 per cell]  6 As 2.91-2.93
3 Ce 0.5000 0.5000 0.0000 [1 per cell]  6 As 2.90-2.94
4 Sm 0.0000 0.5000 0.5000 [1 per cell]  6 As 2.98
5 As 0.2548 0.0000 0.7520 [2 per cell]  3 Ce 2.93-2.94, 1 Li 2.96, 2 Sm 2.98
6 As 0.2619 0.5000 0.2547 [2 per cell]  3 Ce 2.90-2.91, 1 Sm 2.98, 2 Li 3.01



Computed, not measured: a geometry-optimized CePaOs2 structure at the PBE-GGA level of DFT.

## Properties
Magnetization ... 0.37 μB per formula unit
DFT formation energy ... -0.1734 eV per atom
ρ ... 14.90 g/cm³
Polymorph energy (0 for the lowest one) ... 0.47 eV per formula unit

Cell: 3.4059 3.4059 7.2216 Å, 90.00 90.00 90.00°
Closest atoms and distances in Å follow each position.
Space group P4/mmm (No. 123)
Unique sites:
1 Ce 0.0000 0.0000 0.0000 [1 per cell]  8 Os 3.13, 4 Ce 3.41
2 Pa 0.0000 0.0000 0.5000 [1 per cell]  8 Os 2.90
3 Os 0.5000 0.5000 0.2767 [2 per cell]  4 Pa 2.90, 4 Ce 3.13, 1 Os 3.22



Computed, not measured: a geometry-optimized MoC5 structure at the PBE-GGA level of DFT.

## Properties
Magnetization ... 0.00 μB per formula unit
DFT formation energy ... 2.6568 eV per atom
ρ ... 5.32 g/cm³
Polymorph energy (0 for the lowest one) ... 11.84 eV per formula unit

Cell: 5.7948 5.7948 5.7948 Å, 90.00 90.00 90.00°
Closest atoms and distances in Å follow each position.
Space group F-43m (No. 216)
Unique sites:
1 Mo 0.0000 0.0000 0.0000 [4 per cell]  16 C 2.47-2.51
2 C 0.0953 0.0953 0.4047 [16 per cell]  3 C 1.56
3 C 0.2500 0.2500 0.7500 [4 per cell]  12 C 2.37, 4 Mo 2.51



Computed, not measured: a geometry-optimized CePaPdPt structure at the PBE-GGA level of DFT.

## Properties
Magnetization ... 1.56 μB per formula unit
DFT formation energy ... -0.6498 eV per atom
ρ ... 12.69 g/cm³

Cell: 7.0614 7.0614 7.0614 Å, 90.00 90.00 90.00°
Closest atoms and distances in Å follow each position.
Space group F-43m (No. 216)
Unique sites:
1 Ce 0.0000 0.0000 0.0000 [4 per cell]  4 Pt 3.06, 4 Pd 3.06
2 Pa 0.0000 0.0000 0.5000 [4 per cell]  4 Pd 3.06, 4 Pt 3.06
3 Pd 0.2500 0.2500 0.7500 [4 per cell]  4 Ce 3.06, 4 Pa 3.06
4 Pt 0.2500 0.2500 0.2500 [4 per cell]  4 Ce 3.06, 4 Pa 3.06



Computed, not measured: a geometry-optimized La2Pr7Th2 structure at the PBE-GGA level of DFT.

## Properties
Magnetization ... 0.00 μB per formula unit
DFT formation energy ... 0.1453 eV per atom
ρ ... 7.24 g/cm³

Cell: 17.9059 12.1243 3.6844 Å, 90.00 97.79 90.00°
Closest atoms and distances in Å follow each position.
Space group C2/m (No. 12)
Unique sites:
1 La 0.2050 0.0000 0.1480 [4 per cell]  7 Pr 3.53-3.94, 2 La 3.68
2 Pr 0.0000 0.0000 0.5000 [2 per cell]  4 Th 3.59, 2 Pr 3.68
3 Pr 0.0941 0.5000 0.2654 [4 per cell]  2 Th 3.50, 5 Pr 3.53-3.68
4 Pr 0.1638 0.2478 0.6570 [8 per cell]  2 Th 3.35-3.54, 5 Pr 3.44-3.72, 2 La 3.53-3.67
5 Th 0.0000 0.2541 0.0000 [4 per cell]  8 Pr 3.35-3.59, 2 Th 3.68



Computed, not measured: a geometry-optimized FeWAu2 structure at the PBE-GGA level of DFT.

## Properties
Magnetization ... 0.00 μB per formula unit
DFT formation energy ... 0.7019 eV per atom
ρ ... 16.78 g/cm³
Polymorph energy (0 for the lowest one) ... 1.87 eV per formula unit

Cell: 6.3069 6.3069 6.3069 Å, 90.00 90.00 90.00°
Closest atoms and distances in Å follow each position.
Space group Fm-3m (No. 225)
Unique sites:
1 Fe 0.0000 0.0000 0.0000 [4 per cell]  8 Au 2.73
2 W 0.0000 0.0000 0.5000 [4 per cell]  8 Au 2.73
3 Au 0.2500 0.2500 0.2500 [8 per cell]  4 W 2.73, 4 Fe 2.73



Computed, not measured: a geometry-optimized ScTeSeBr2 structure at the PBE-GGA level of DFT.

## Properties
Magnetization ... 0.98 μB per formula unit
ρ ... 4.65 g/cm³
E_form (uncorrected) ... -627.6 meV/atom
Polymorph energy (0 for the lowest one) ... 0.00 eV per formula unit

Cell: 5.1368 5.1368 5.5667 Å, 90.00 90.00 90.00°
Closest atoms and distances in Å follow each position.
Space group P4/mmm (No. 123)
Unique sites:
1 Sc 0.0000 0.0000 0.0000 [1 per cell]  4 Br 2.57, 2 Se 2.78
2 Te 0.5000 0.5000 0.5000 [1 per cell]  4 Se 3.63, 8 Br 3.79
3 Se 0.0000 0.0000 0.5000 [1 per cell]  2 Sc 2.78
4 Br 0.0000 0.5000 0.0000 [2 per cell]  2 Sc 2.57